# NpAs2Pd5 PBE optimized geometry
# * space-group type: No. 71
# * formation enthalpy at 0 K: -0.40 eV/atom
# * spin magnetization: 0.5250 μB per atom
data_NpAs2Pd5
_space_group_name_H-M_alt 'P 1'
_space_group_IT_number 1
_cell_length_a 4.0820
_cell_length_b 6.3298
_cell_length_c 6.3298
_cell_angle_alpha 70.74
_cell_angle_beta 71.19
_cell_angle_gamma 71.19
loop_
_space_group_symop_operation_xyz
'x,y,z'
loop_
_atom_site_label
_atom_site_type_symbol
_atom_site_fract_x
_atom_site_fract_y
_atom_site_fract_z
_atom_site_occupancy
Np1 Np 0.0000 0.0000 0.0000 1
As1 As 0.7410 0.7590 0.7590 1
As2 As 0.2590 0.2410 0.2410 1
Pd1 Pd 0.0000 0.5000 0.5000 1
Pd2 Pd 0.6489 0.5435 0.1587 1
Pd3 Pd 0.3511 0.4565 0.8413 1
Pd4 Pd 0.3511 0.8413 0.4565 1
Pd5 Pd 0.6489 0.1587 0.5435 1